CaMgV2O6 PBE with a Hubbard U optimized geometry; DFT total energy = -7.1681 eV per atom
1.0
-0.466 0.231 -6.197
-6.358 -2.779 -1.623
-1.192 6.829 -1.653
O Ca V Mg
12 2 4 2
Cartesian
-6.473 4.382 -7.009 O
-7.010 2.833 -3.906 O
-2.039 3.997 -4.875 O
-3.779 4.924 -7.711 O
-4.648 3.057 -5.357 O
-5.978 0.284 -4.598 O
-1.007 1.448 -5.566 O
-3.123 2.231 -7.217 O
-3.369 1.224 -4.116 O
-4.894 2.050 -2.256 O
-1.544 -0.102 -2.464 O
-4.238 -0.643 -1.762 O
-2.033 6.089 -6.298 Ca
-5.984 -1.808 -3.175 Ca
-2.604 2.420 -5.381 V
-4.781 3.585 -7.195 V
-5.413 1.861 -4.092 V
-3.236 0.696 -2.278 V
-5.712 -0.754 -6.276 Mg
-2.305 5.034 -3.197 Mg